22
Lattice="1.9280 -6.3882 0.0000 1.9280 6.3882 0.0000 0.0000 0.0000 19.9060" Properties=species:S:1:pos:R:3 comment="PBE-GGA Er6AuS4, optimized geometry" volume_a3_per_fu=245 raw_formation_energy_ev_per_atom=-1.621 total_energy_ev_per_cell=-129.99 pbc="T T T"
Er 0.0000 0.0000 0.0000
Er 0.0000 0.0000 9.9530
Er 1.9280 4.2592 14.9295
Er 1.9280 2.9083 1.7153
Er 1.9280 2.9083 8.2377
Er 1.9280 0.6185 13.1916
Er 1.9280 0.6185 16.6673
Er 1.9280 -0.6185 3.2386
Er 1.9280 -0.6185 6.7143
Er 1.9280 -2.9083 11.6683
Er 1.9280 -2.9083 18.1906
Er 1.9280 -4.2592 4.9765
Au 1.9280 4.3309 4.9765
Au 1.9280 -4.3309 14.9295
S 1.9280 5.2399 12.3915
S 1.9280 5.2399 17.4675
S 1.9280 1.7715 10.7282
S 1.9280 1.7715 19.1307
S 1.9280 -1.7715 0.7752
S 1.9280 -1.7715 9.1777
S 1.9280 -5.2399 2.4385
S 1.9280 -5.2399 7.5145